1.
A relaxed structure of Th4Ni3Ge, computed with PBE-GGA.

Results
- crystal system = orthorhombic
- DFT formation energy (meV per atom) = -483
- space-group type = Pmm2 (25)

abc: 3.9420 4.1536 11.0034
angles: 90.00 90.00 90.00
Closest atoms and distances in Å follow each position.
Sites, in units of the cell vectors:
1 Th 0.5000 0.5000 0.3657  6 Ni 2.94-2.98, 1 Ge 3.30
2 Th 0.0000 0.5000 0.8489  5 Ni 3.00-3.08, 2 Ge 3.10
3 Th 0.0000 0.0000 0.1497  4 Ge 3.01, 3 Ni 3.06-3.12
4 Th 0.5000 0.0000 0.6422  7 Ni 2.97-3.17
5 Ni 0.0000 0.5000 0.5691  2 Ni 2.59
6 Ni 0.0000 0.0000 0.4282  2 Ni 2.59
7 Ni 0.5000 0.0000 0.9301  2 Ge 2.56
8 Ge 0.5000 0.5000 0.0661  2 Ni 2.56

2.
A relaxed structure of ThNiGe, computed with PBE-GGA.

Results
- crystal system = hexagonal
- DFT formation energy (meV per atom) = -775
- space-group type = P-6m2 (187)

abc: 4.2132 4.2132 11.8310
angles: 90.00 90.00 120.00
Closest atoms and distances in Å follow each position.
Sites, in units of the cell vectors:
1 Th 0.4946 0.9891 0.0000  6 Ni 3.12, 6 Ge 3.15
2 Th 0.4947 0.9893 0.6666  6 Ge 3.11-3.13, 6 Ni 3.13-3.15
3 Th 0.4947 0.9893 0.3334  6 Ge 3.11-3.13, 6 Ni 3.13-3.15
4 Ni 0.8281 0.6561 0.1646  3 Ge 2.43
5 Ni 0.8281 0.6561 0.8354  3 Ge 2.43
6 Ni 0.1615 0.3231 0.5000  3 Ge 2.43
7 Ge 0.1613 0.3226 0.1695  3 Ni 2.43
8 Ge 0.1613 0.3226 0.8305  3 Ni 2.43
9 Ge 0.8281 0.6562 0.5000  3 Ni 2.43

3.
A relaxed structure of ThNi4Ge2, computed with PBE-GGA.

Results
- relative energy among the computed polymorphs (meV/atom) = 30
- crystal system = orthorhombic
- DFT formation energy (meV per atom) = -436
- space-group type = Pnma (62)

abc: 4.1295 6.3261 16.3743
angles: 90.00 90.00 90.00
Closest atoms and distances in Å follow each position.
Sites, in units of the cell vectors:
1 Th 0.7500 0.0069 0.6401  9 Ni 2.83-3.04, 4 Ge 3.15-3.17
2 Th 0.2500 0.9931 0.3599  9 Ni 2.83-3.04, 4 Ge 3.15-3.17
3 Th 0.2500 0.5069 0.8599  9 Ni 2.83-3.04, 4 Ge 3.15-3.17
4 Th 0.7500 0.4931 0.1401  9 Ni 2.83-3.04, 4 Ge 3.15-3.17
5 Ni 0.2500 0.2938 0.6977  3 Ge 2.41-2.43, 1 Ni 2.53
6 Ni 0.7500 0.7062 0.3023  3 Ge 2.41-2.43, 1 Ni 2.53
7 Ni 0.7500 0.7938 0.8023  3 Ge 2.41-2.43, 1 Ni 2.53
8 Ni 0.2500 0.2062 0.1977  3 Ge 2.41-2.43, 1 Ni 2.53
9 Ni 0.2500 0.6925 0.6887  4 Ge 2.45-2.47, 1 Ni 2.53
10 Ni 0.7500 0.3075 0.3113  4 Ge 2.45-2.47, 1 Ni 2.53
11 Ni 0.7500 0.1925 0.8113  4 Ge 2.45-2.47, 1 Ni 2.53
12 Ni 0.2500 0.8075 0.1887  4 Ge 2.45-2.47, 1 Ni 2.53
13 Ni 0.2500 0.1361 0.5236  3 Ge 2.46-2.56, 1 Ni 2.63
14 Ni 0.7500 0.8639 0.4764  3 Ge 2.46-2.56, 1 Ni 2.63
15 Ni 0.7500 0.6361 0.9764  3 Ge 2.46-2.56, 1 Ni 2.63
16 Ni 0.2500 0.3639 0.0236  3 Ge 2.46-2.56, 1 Ni 2.63
17 Ni 0.2500 0.4790 0.4328  4 Ge 2.38-2.50, 1 Ni 2.63
18 Ni 0.7500 0.5210 0.5672  4 Ge 2.38-2.50, 1 Ni 2.63
19 Ni 0.7500 0.9790 0.0672  4 Ge 2.38-2.50, 1 Ni 2.63
20 Ni 0.2500 0.0210 0.9328  4 Ge 2.38-2.50, 1 Ni 2.63
21 Ge 0.2500 0.7337 0.5401  7 Ni 2.38-2.56
22 Ge 0.7500 0.2663 0.4599  7 Ni 2.38-2.56
23 Ge 0.7500 0.2337 0.9599  7 Ni 2.38-2.56
24 Ge 0.2500 0.7663 0.0401  7 Ni 2.38-2.56
25 Ge 0.2500 0.9906 0.7864  7 Ni 2.40-2.47
26 Ge 0.7500 0.0094 0.2136  7 Ni 2.40-2.47
27 Ge 0.7500 0.4906 0.7136  7 Ni 2.40-2.47
28 Ge 0.2500 0.5094 0.2864  7 Ni 2.40-2.47

4.
A relaxed structure of Th2Ni3Ge, computed with PBE-GGA.

Results
- crystal system = orthorhombic
- DFT formation energy (meV per atom) = -563
- space-group type = Fmmm (69)

abc: 5.7100 5.7100 8.3122
angles: 111.99 111.99 84.82
Closest atoms and distances in Å follow each position.
Sites, in units of the cell vectors:
1 Th 0.7500 0.2500 0.5000  8 Ni 3.06-3.10, 4 Ge 3.10
2 Th 0.7604 0.2396 0.0000  10 Ni 3.01-3.14, 2 Ge 3.12
3 Th 0.2500 0.7500 0.5000  8 Ni 3.06-3.10, 4 Ge 3.10
4 Th 0.2396 0.7604 0.0000  10 Ni 3.01-3.14, 2 Ge 3.12
5 Ni 0.8316 0.8316 0.1688  1 Ge 2.39, 2 Ni 2.42-2.43
6 Ni 0.6628 0.6628 0.8312  1 Ge 2.39, 2 Ni 2.42-2.43
7 Ni 0.1684 0.1684 0.8312  1 Ge 2.39, 2 Ni 2.42-2.43
8 Ni 0.3372 0.3372 0.1688  1 Ge 2.39, 2 Ni 2.42-2.43
9 Ni 0.1657 0.1657 0.3314  1 Ge 2.40, 2 Ni 2.43
10 Ni 0.8343 0.8343 0.6686  1 Ge 2.40, 2 Ni 2.43
11 Ge 0.6665 0.6665 0.3330  3 Ni 2.39-2.40
12 Ge 0.3335 0.3335 0.6670  3 Ni 2.39-2.40

5.
A relaxed structure of ThNiGe, computed with PBE-GGA.

Results
- crystal system = tetragonal
- DFT formation energy (meV per atom) = -175
- space-group type = I4mm (107)

abc: 3.9922 3.9922 5.0100
angles: 113.48 113.48 90.00
Closest atoms and distances in Å follow each position.
Sites, in units of the cell vectors:
1 Ni 0.2565 0.2565 0.5130  1 Ge 2.37
2 Ge 0.9707 0.9707 0.9414  1 Ni 2.37
3 Th 0.6228 0.6228 0.2456  5 Ge 2.88-3.09, 5 Ni 3.03

6.
A relaxed structure of ThNi4Ge12, computed with PBE-GGA.

Results
- crystal system = cubic
- DFT formation energy (meV per atom) = -224
- space-group type = Im-3 (204)

abc: 7.2822 7.2822 7.2822
angles: 109.47 109.47 109.47
Closest atoms and distances in Å follow each position.
Sites, in units of the cell vectors:
1 Th 0.0000 0.0000 0.0000  12 Ge 3.23
2 Ni 0.0000 0.5000 0.0000  6 Ge 2.38
3 Ni 0.5000 0.0000 0.0000  6 Ge 2.38
4 Ni 0.5000 0.5000 0.5000  6 Ge 2.38
5 Ni 0.0000 0.0000 0.5000  6 Ge 2.38
6 Ge 0.8381 0.3485 0.1866  2 Ni 2.38, 1 Ge 2.55
7 Ge 0.3485 0.5104 0.1619  2 Ni 2.38, 1 Ge 2.55
8 Ge 0.8134 0.1619 0.6515  2 Ni 2.38, 1 Ge 2.55
9 Ge 0.3485 0.1866 0.8381  2 Ni 2.38, 1 Ge 2.55
10 Ge 0.1866 0.8381 0.3485  2 Ni 2.38, 1 Ge 2.55
11 Ge 0.6515 0.4896 0.8381  2 Ni 2.38, 1 Ge 2.55
12 Ge 0.5104 0.1619 0.3485  2 Ni 2.38, 1 Ge 2.55
13 Ge 0.4896 0.8381 0.6515  2 Ni 2.38, 1 Ge 2.55
14 Ge 0.6515 0.8134 0.1619  2 Ni 2.38, 1 Ge 2.55
15 Ge 0.8381 0.6515 0.4896  2 Ni 2.38, 1 Ge 2.55
16 Ge 0.1619 0.3485 0.5104  2 Ni 2.38, 1 Ge 2.55
17 Ge 0.1619 0.6515 0.8134  2 Ni 2.38, 1 Ge 2.55

7.
A relaxed structure of Th2Ni5Ge3, computed with PBE-GGA.

Results
- relative energy among the computed polymorphs (meV/atom) = 0
- crystal system = orthorhombic
- DFT formation energy (meV per atom) = -482
- space-group type = Cmc2_1 (36)

abc: 4.1322 6.7261 12.3907
angles: 90.00 99.60 90.00
Closest atoms and distances in Å follow each position.
Sites, in units of the cell vectors:
1 Th 0.4803 0.7514 0.9607  3 Ni 2.76-2.97, 3 Ge 2.91-2.98
2 Th 0.1760 0.7576 0.3520  8 Ni 2.85-3.18, 3 Ge 3.05-3.17
3 Th 0.8240 0.2576 0.6480  8 Ni 2.85-3.18, 3 Ge 3.05-3.17
4 Th 0.5197 0.2514 0.0393  3 Ni 2.76-2.97, 3 Ge 2.91-2.98
5 Ni 0.4094 0.3397 0.8188  3 Ge 2.36
6 Ni 0.2744 0.5296 0.5487  3 Ge 2.44-2.45, 3 Ni 2.66-2.67
7 Ni 0.7256 0.0296 0.4513  3 Ge 2.44-2.45, 3 Ni 2.66-2.67
8 Ni 0.1213 0.2882 0.2426  4 Ge 2.47-2.62, 1 Ni 2.57
9 Ni 0.2875 0.9239 0.5750  4 Ge 2.39-2.59, 3 Ni 2.66-2.67
10 Ni 0.9458 0.0820 0.8916  3 Ni 2.57-2.84, 3 Ge 2.60-2.63
11 Ni 0.7125 0.4239 0.4250  4 Ge 2.39-2.59, 3 Ni 2.66-2.67
12 Ni 0.8787 0.7882 0.7574  4 Ge 2.47-2.62, 1 Ni 2.57
13 Ni 0.0542 0.5820 0.1084  3 Ni 2.57-2.84, 3 Ge 2.60-2.63
14 Ni 0.5906 0.8397 0.1812  3 Ge 2.36
15 Ge 0.7793 0.7223 0.5586  7 Ni 2.44-2.59
16 Ge 0.6170 0.5021 0.2340  6 Ni 2.36-2.63
17 Ge 0.0599 0.9681 0.1199  4 Ni 2.36-2.62
18 Ge 0.2207 0.2223 0.4414  7 Ni 2.44-2.59
19 Ge 0.9401 0.4681 0.8801  4 Ni 2.36-2.62
20 Ge 0.3830 0.0021 0.7660  6 Ni 2.36-2.63

8.
A relaxed structure of Th3Ni7Ge4, computed with PBE-GGA.

Results
- crystal system = monoclinic
- DFT formation energy (meV per atom) = -603
- space-group type = C2/m (12)

abc: 4.1119 8.0425 7.7719
angles: 71.47 74.66 75.19
Closest atoms and distances in Å follow each position.
Sites, in units of the cell vectors:
1 Th 0.3192 0.1847 0.1770  8 Ni 2.92-3.02, 5 Ge 3.04-3.22
2 Th 0.6808 0.8153 0.8230  8 Ni 2.92-3.02, 5 Ge 3.04-3.22
3 Th 0.0000 0.5000 0.5000  6 Ni 2.89-3.20, 6 Ge 3.00-3.18
4 Ni 0.3246 0.7983 0.5525  4 Ge 2.50-2.66, 1 Ni 2.53
5 Ni 0.5030 0.2128 0.7812  3 Ge 2.49-2.52, 3 Ni 2.53-2.58
6 Ni 0.8752 0.3524 0.8971  3 Ge 2.43-2.59, 3 Ni 2.58-2.64
7 Ni 0.6754 0.2017 0.4475  4 Ge 2.50-2.66, 1 Ni 2.53
8 Ni 0.1248 0.6476 0.1029  3 Ge 2.43-2.59, 3 Ni 2.58-2.64
9 Ni 0.0000 0.0000 0.0000  2 Ge 2.51, 2 Ni 2.64
10 Ni 0.4970 0.7872 0.2188  3 Ge 2.49-2.52, 3 Ni 2.53-2.58
11 Ge 0.6693 0.4777 0.1837  5 Ni 2.43-2.59
12 Ge 0.3307 0.5223 0.8163  5 Ni 2.43-2.59
13 Ge 0.8770 0.8990 0.3471  6 Ni 2.51-2.66
14 Ge 0.1230 0.1010 0.6529  6 Ni 2.51-2.66

9.
A relaxed structure of ThNi3Ge3, computed with PBE-GGA.

Results
- crystal system = cubic
- DFT formation energy (meV per atom) = -191
- space-group type = Pm-3n (223)

abc: 6.3843 6.3843 6.3843
angles: 90.00 90.00 90.00
Closest atoms and distances in Å follow each position.
Sites, in units of the cell vectors:
1 Ni 0.2500 0.0000 0.5000  4 Ge 2.26
2 Ni 0.0000 0.5000 0.2500  4 Ge 2.26
3 Ni 0.5000 0.7500 0.0000  4 Ge 2.26
4 Ni 0.7500 0.0000 0.5000  4 Ge 2.26
5 Ni 0.0000 0.5000 0.7500  4 Ge 2.26
6 Ni 0.5000 0.2500 0.0000  4 Ge 2.26
7 Ge 0.0000 0.2500 0.5000  4 Ni 2.26
8 Ge 0.0000 0.7500 0.5000  4 Ni 2.26
9 Ge 0.5000 0.0000 0.7500  4 Ni 2.26
10 Ge 0.7500 0.5000 0.0000  4 Ni 2.26
11 Ge 0.5000 0.0000 0.2500  4 Ni 2.26
12 Ge 0.2500 0.5000 0.0000  4 Ni 2.26
13 Th 0.5000 0.5000 0.5000  12 Ge 3.57, 12 Ni 3.57
14 Th 0.0000 0.0000 0.0000  12 Ni 3.57, 12 Ge 3.57

10.
A relaxed structure of ThNi2Ge4, computed with PBE-GGA.

Results
- crystal system = orthorhombic
- DFT formation energy (meV per atom) = -415
- space-group type = Pnma (62)

abc: 4.0868 6.5381 18.4131
angles: 90.00 90.00 90.00
Closest atoms and distances in Å follow each position.
Sites, in units of the cell vectors:
1 Th 0.7500 0.0409 0.6388  8 Ge 3.02-3.20, 1 Ni 3.31
2 Th 0.2500 0.9591 0.3612  8 Ge 3.02-3.20, 1 Ni 3.31
3 Th 0.2500 0.5409 0.8612  8 Ge 3.02-3.20, 1 Ni 3.31
4 Th 0.7500 0.4591 0.1388  8 Ge 3.02-3.20, 1 Ni 3.31
5 Ni 0.2500 0.7410 0.5316  7 Ge 2.42-2.59
6 Ni 0.7500 0.2590 0.4684  7 Ge 2.42-2.59
7 Ni 0.7500 0.2410 0.9684  7 Ge 2.42-2.59
8 Ni 0.2500 0.7590 0.0316  7 Ge 2.42-2.59
9 Ni 0.2500 0.0150 0.7977  6 Ge 2.44-2.51
10 Ni 0.7500 0.9850 0.2023  6 Ge 2.44-2.51
11 Ni 0.7500 0.5150 0.7023  6 Ge 2.44-2.51
12 Ni 0.2500 0.4850 0.2977  6 Ge 2.44-2.51
13 Ge 0.2500 0.3121 0.7114  3 Ni 2.44-2.51, 1 Ge 2.69
14 Ge 0.7500 0.6879 0.2886  3 Ni 2.44-2.51, 1 Ge 2.69
15 Ge 0.7500 0.8121 0.7886  3 Ni 2.44-2.51, 1 Ge 2.69
16 Ge 0.2500 0.1879 0.2114  3 Ni 2.44-2.51, 1 Ge 2.69
17 Ge 0.2500 0.7067 0.6704  3 Ni 2.47-2.56, 1 Ge 2.69
18 Ge 0.7500 0.2933 0.3296  3 Ni 2.47-2.56, 1 Ge 2.69
19 Ge 0.7500 0.2067 0.8296  3 Ni 2.47-2.56, 1 Ge 2.69
20 Ge 0.2500 0.7933 0.1704  3 Ni 2.47-2.56, 1 Ge 2.69
21 Ge 0.2500 0.1360 0.5230  3 Ni 2.42-2.59
22 Ge 0.7500 0.8640 0.4770  3 Ni 2.42-2.59
23 Ge 0.7500 0.6360 0.9770  3 Ni 2.42-2.59
24 Ge 0.2500 0.3640 0.0230  3 Ni 2.42-2.59
25 Ge 0.2500 0.4806 0.4333  4 Ni 2.49-2.59
26 Ge 0.7500 0.5194 0.5667  4 Ni 2.49-2.59
27 Ge 0.7500 0.9806 0.0667  4 Ni 2.49-2.59
28 Ge 0.2500 0.0194 0.9333  4 Ni 2.49-2.59

11.
A relaxed structure of ThNiGe, computed with PBE-GGA.

Results
- crystal system = trigonal
- DFT formation energy (meV per atom) = -767
- space-group type = P3m1 (156)

abc: 3.9915 4.1896 4.1896
angles: 120.00 90.00 90.00
Closest atoms and distances in Å follow each position.
Sites, in units of the cell vectors:
1 Ni 0.1688 0.3333 0.6667  3 Ge 2.42
2 Ge 0.1654 0.0000 0.0000  3 Ni 2.42
3 Th 0.6658 0.6667 0.3333  6 Ni 3.13-3.14, 6 Ge 3.13-3.14

12.
A relaxed structure of Th3NiGe, computed with PBE-GGA.

Results
- crystal system = monoclinic
- DFT formation energy (meV per atom) = -446
- space-group type = C2/m (12)

abc: 3.9967 7.9346 8.3520
angles: 90.29 89.99 104.57
Closest atoms and distances in Å follow each position.
Sites, in units of the cell vectors:
1 Th 0.0642 0.1605 0.4063  4 Ge 3.13-3.19, 1 Ni 3.18, 1 Th 3.50
2 Th 0.4152 0.8635 0.6588  3 Ni 2.75-2.85
3 Th 0.6287 0.2906 0.7628  3 Ni 2.75-2.85
4 Th 0.9797 0.9935 0.0153  4 Ge 3.13-3.19, 1 Ni 3.18, 1 Th 3.50
5 Th 0.2689 0.5711 0.0252  2 Ni 2.91, 3 Ge 3.11-3.12
6 Th 0.7750 0.5829 0.3963  2 Ni 2.91, 3 Ge 3.11-3.12
7 Ni 0.2302 0.4936 0.6351  2 Ni 2.69, 5 Th 2.75-2.91
8 Ni 0.8140 0.6607 0.7864  2 Ni 2.69, 5 Th 2.75-2.91
9 Ge 0.4172 0.8677 0.2799  8 Th 3.11-3.19, 1 Ge 3.42
10 Ge 0.6267 0.2862 0.1417  8 Th 3.11-3.19, 1 Ge 3.42